(1)
This record from Alexandria via LeMat-Bulk describes BaP2Br after structural relaxation. The functional is PBE.

Total magnetic moment: 0.5 μB/f.u.
Calculated total energy: -4.23 eV per atom
Formation energy (no corrections): -0.627 eV/atom
ρ: 3263 kg/m3
Calculated volume: 35.51 A^3/atom
Distance to the lowest polymorph of the same formula: 0.820 eV per formula unit

a b c (Å): 4.7523 4.7523 6.2901
angles (deg): 90.00 90.00 90.02
Each line ends with the local moment (μB).
Positions (direct):
P 0.0000 0.0000 0.0899  0.09
Ba 0.5000 0.5000 0.2500  0.02
P 0.0000 0.0000 0.4101  0.09
Br 0.5000 0.5000 0.7500  0.03

---

(2)
This record from Alexandria via LeMat-Bulk describes Ba2LaZnRu after structural relaxation. The functional is PBE.

Total magnetic moment: 0.0 μB/f.u.
Calculated total energy: -3.75 eV per atom
ρ: 4850 kg/m3
Calculated volume: 39.72 A^3/atom
Formation energy from the elements: 110 meV/atom

a b c (Å): 6.1989 5.1677 6.1989
angles (deg): 90.00 90.00 90.00
Positions (direct):
Ba 0.5000 0.0000 0.0000
La 0.0000 0.5000 0.0000
Ba 0.0000 0.0000 0.5000
Ru 0.0000 0.0000 0.0000
Zn 0.5000 0.5000 0.5000

---

(3)
This record from Alexandria via LeMat-Bulk describes RbHoAg2I6 after structural relaxation. The functional is PBE.

Total magnetic moment: 0.0 μB/f.u.
Calculated total energy: -2.94 eV per atom
Formation energy (no corrections): -0.881 eV/atom
ρ: 4162 kg/m3
Calculated volume: 48.97 A^3/atom

a b c (Å): 9.0048 10.9434 10.9434
angles (deg): 80.72 72.66 72.66
Positions (direct):
Rb 0.2500 0.8344 0.1656
Ag 0.8530 0.5134 0.6078
Ag 0.6470 0.3922 0.4866
I 0.6661 0.8202 0.9455
Ho 0.2500 0.1776 0.8224
Ag 0.3530 0.6078 0.5134
I 0.5140 0.5404 0.7147
I 0.4719 0.8456 0.3972
I 0.8339 0.0545 0.1798
I 0.9860 0.2853 0.4596
Ag 0.1470 0.4866 0.3922
I 0.9719 0.3972 0.8456
I 0.4860 0.4596 0.2853
I 0.1661 0.9455 0.8202
I 0.0140 0.7147 0.5404
I 0.3339 0.1798 0.0545
I 0.5281 0.1544 0.6028
I 0.0281 0.6028 0.1544
Rb 0.7500 0.1656 0.8344
Ho 0.7500 0.8224 0.1776

---

(4)
This record from Alexandria via LeMat-Bulk describes HfTi2W after structural relaxation. The functional is PBE.

Total magnetic moment: 0.0 μB/f.u.
Calculated total energy: -9.63 eV per atom
ρ: 10621 kg/m3
Calculated volume: 17.90 A^3/atom
Formation energy from the elements: 42 meV/atom

a b c (Å): 3.2560 3.2560 6.7553
angles (deg): 90.00 90.00 90.00
Positions (direct):
W 0.5000 0.5000 0.0000
Ti 0.0000 0.0000 0.7856
Hf 0.5000 0.5000 0.5000
Ti 0.0000 0.0000 0.2144

---

Repeat the second record exactly.
This record from Alexandria via LeMat-Bulk describes Ba2LaZnRu after structural relaxation. The functional is PBE.

Total magnetic moment: 0.0 μB/f.u.
Calculated total energy: -3.75 eV per atom
ρ: 4850 kg/m3
Calculated volume: 39.72 A^3/atom
Formation energy from the elements: 110 meV/atom

a b c (Å): 6.1989 5.1677 6.1989
angles (deg): 90.00 90.00 90.00
Positions (direct):
Ba 0.5000 0.0000 0.0000
La 0.0000 0.5000 0.0000
Ba 0.0000 0.0000 0.5000
Ru 0.0000 0.0000 0.0000
Zn 0.5000 0.5000 0.5000